Density functional theory data (GGA-PBE) for Li3PmPd4O12 after structural relaxation.

Calculated values
Energy relative to the elements, uncorrected (eV/atom): -1.007
Calculated total energy (eV per cell): -110.91
Magnetization (μB per formula unit): 2.1

Cell: 6.5605 6.5605 6.5605 Å, 109.47 109.47 109.47°
Last column: magnetic moment on the atom in μB.
Element x y z (fractional)
Li (0.0000, 0.5000, 0.5000)  0.00
Li (0.5000, 0.5000, 0.0000)  0.00
Li (0.5000, 0.0000, 0.5000)  0.00
Pm (0.0000, 0.0000, 0.0000)  0.01
Pd (0.5000, 0.0000, 0.0000)  0.15
Pd (0.5000, 0.5000, 0.5000)  0.15
Pd (0.0000, 0.5000, 0.0000)  0.15
Pd (0.0000, 0.0000, 0.5000)  0.15
O (0.2975, 0.8308, 0.1283)  0.11
O (0.7025, 0.1692, 0.8717)  0.11
O (0.7025, 0.8308, 0.5333)  0.11
O (0.8717, 0.7025, 0.1692)  0.11
O (0.8308, 0.1283, 0.2975)  0.11
O (0.1692, 0.4667, 0.2975)  0.11
O (0.4667, 0.2975, 0.1692)  0.11
O (0.1692, 0.8717, 0.7025)  0.11
O (0.2975, 0.1692, 0.4667)  0.11
O (0.1283, 0.2975, 0.8308)  0.11
O (0.8308, 0.5333, 0.7025)  0.11
O (0.5333, 0.7025, 0.8308)  0.11



Density functional theory data (GGA-PBE) for LiPmPdO after structural relaxation.

Calculated values
Energy relative to the elements, uncorrected (eV/atom): -1.597
Calculated total energy (eV per cell): -46.40
Magnetization (μB per formula unit): 0.0

Cell: 3.9998 3.9998 9.0525 Å, 90.00 90.00 90.00°
Element x y z (fractional)
Li (0.0000, 0.0000, 0.5000)
Li (0.5000, 0.5000, 0.5000)
Pm (0.0000, 0.5000, 0.8700)
Pm (0.5000, 0.0000, 0.1300)
Pd (0.5000, 0.0000, 0.6855)
Pd (0.0000, 0.5000, 0.3145)
O (0.5000, 0.5000, 0.0000)
O (0.0000, 0.0000, 0.0000)



Density functional theory data (GGA-PBE) for Li2PmPdO4 after structural relaxation.

Calculated values
Energy relative to the elements, uncorrected (eV/atom): -1.663
Calculated total energy (eV per cell): -46.91
Magnetization (μB per formula unit): 0.6

Cell: 4.9465 4.9465 4.9465 Å, 102.43 113.10 113.10°
Last column: magnetic moment on the atom in μB.
Element x y z (fractional)
Li (0.5000, 0.7500, 0.2500)  0.00
Li (0.5000, 0.2500, 0.7500)  0.00
Pm (0.0000, 0.0000, 0.0000)  0.00
Pd (0.0000, 0.5000, 0.5000)  0.30
O (0.0000, 0.0823, 0.5456)  0.07
O (0.5367, 0.4544, 0.4544)  0.07
O (0.4633, 0.9177, 0.9177)  0.07
O (0.0000, 0.5456, 0.0823)  0.07



Density functional theory data (GGA-PBE) for Li2Pr2PdO6 after structural relaxation.

Calculated values
Energy relative to the elements, uncorrected (eV/atom): -1.964
Calculated total energy (eV per cell): -69.93
Magnetization (μB per formula unit): 0.0

Cell: 5.6392 5.6392 5.9702 Å, 61.82 61.82 60.00°
Element x y z (fractional)
Li (0.4242, 0.4242, 0.7273)
Li (0.5758, 0.5758, 0.2727)
Pr (0.7842, 0.7842, 0.6475)
Pr (0.2158, 0.2158, 0.3525)
Pd (0.0000, 0.0000, 0.0000)
O (0.7569, 0.7569, 0.2700)
O (0.2163, 0.7569, 0.2700)
O (0.7569, 0.2163, 0.2700)
O (0.2431, 0.7837, 0.7300)
O (0.7837, 0.2431, 0.7300)
O (0.2431, 0.2431, 0.7300)



Density functional theory data (GGA-PBE) for LiPrPdO after structural relaxation.

Calculated values
Energy relative to the elements, uncorrected (eV/atom): -1.557
Calculated total energy (eV per cell): -46.14
Magnetization (μB per formula unit): 0.0

Cell: 4.0632 4.0632 9.0692 Å, 90.00 90.00 90.00°
Element x y z (fractional)
Li (0.0000, 0.0000, 0.5000)
Li (0.5000, 0.5000, 0.5000)
Pr (0.0000, 0.5000, 0.8668)
Pr (0.5000, 0.0000, 0.1332)
Pd (0.5000, 0.0000, 0.6812)
Pd (0.0000, 0.5000, 0.3188)
O (0.5000, 0.5000, 0.0000)
O (0.0000, 0.0000, 0.0000)



Density functional theory data (GGA-PBE) for Li3PrPd4O12 after structural relaxation.

Calculated values
Energy relative to the elements, uncorrected (eV/atom): -1.002
Calculated total energy (eV per cell): -110.84
Magnetization (μB per formula unit): 2.1

Cell: 6.5753 6.5753 6.5753 Å, 109.47 109.47 109.47°
Last column: magnetic moment on the atom in μB.
Element x y z (fractional)
Li (0.0000, 0.5000, 0.5000)  0.00
Li (0.5000, 0.5000, 0.0000)  0.00
Li (0.5000, 0.0000, 0.5000)  0.00
Pr (0.0000, 0.0000, 0.0000)  0.01
Pd (0.5000, 0.0000, 0.0000)  0.15
Pd (0.5000, 0.5000, 0.5000)  0.15
Pd (0.0000, 0.5000, 0.0000)  0.15
Pd (0.0000, 0.0000, 0.5000)  0.15
O (0.2990, 0.8290, 0.1280)  0.10
O (0.7010, 0.1710, 0.8720)  0.10
O (0.7010, 0.8290, 0.5300)  0.10
O (0.8720, 0.7010, 0.1710)  0.10
O (0.8290, 0.1280, 0.2990)  0.10
O (0.1710, 0.4700, 0.2990)  0.10
O (0.4700, 0.2990, 0.1710)  0.10
O (0.1710, 0.8720, 0.7010)  0.10
O (0.2990, 0.1710, 0.4700)  0.10
O (0.1280, 0.2990, 0.8290)  0.10
O (0.8290, 0.5300, 0.7010)  0.10
O (0.5300, 0.7010, 0.8290)  0.10



What did the fifth record say?
Density functional theory data (GGA-PBE) for LiPrPdO after structural relaxation.

Calculated values
Energy relative to the elements, uncorrected (eV/atom): -1.557
Calculated total energy (eV per cell): -46.14
Magnetization (μB per formula unit): 0.0

Cell: 4.0632 4.0632 9.0692 Å, 90.00 90.00 90.00°
Element x y z (fractional)
Li (0.0000, 0.0000, 0.5000)
Li (0.5000, 0.5000, 0.5000)
Pr (0.0000, 0.5000, 0.8668)
Pr (0.5000, 0.0000, 0.1332)
Pd (0.5000, 0.0000, 0.6812)
Pd (0.0000, 0.5000, 0.3188)
O (0.5000, 0.5000, 0.0000)
O (0.0000, 0.0000, 0.0000)